No. 1
! BaSrPu2O8 (PBE, relaxed); values from VASP
! Total DFT energy (no corrections) = -8.494 eV/atom
! Space-group type = No. 82
&SYSTEM
  ibrav = 0, nat = 12, ntyp = 4
/
ATOMIC_SPECIES
Ba 137.33 Ba.upf
Sr 87.62 Sr.upf
Pu 244.00 Pu.upf
O 16.00 O.upf
CELL_PARAMETERS angstrom
-2.861 2.861 5.339
2.861 -2.861 5.339
2.861 2.861 -5.339
ATOMIC_POSITIONS crystal
Ba 0.000 0.000 0.000
Sr 0.750 0.250 0.500
Pu 0.250 0.750 0.500
Pu 0.500 0.500 0.000
O 0.155 0.622 0.058
O 0.179 0.163 0.569
O 0.378 0.436 0.533
O 0.390 0.821 0.984
O 0.564 0.097 0.942
O 0.594 0.610 0.431
O 0.837 0.406 0.016
O 0.903 0.845 0.467

***

No. 2
! BaSrPuO4 (PBE, relaxed); values from VASP
! Total DFT energy (no corrections) = -8.222 eV/atom
! Space-group type = No. 107
&SYSTEM
  ibrav = 0, nat = 14, ntyp = 4
/
ATOMIC_SPECIES
Ba 137.33 Ba.upf
Sr 87.62 Sr.upf
Pu 244.00 Pu.upf
O 16.00 O.upf
CELL_PARAMETERS angstrom
4.378 0.000 0.000
0.000 4.378 0.000
0.000 0.000 13.289
ATOMIC_POSITIONS crystal
Ba 0.000 0.000 0.000
Ba 0.500 0.500 0.500
Sr 0.000 0.000 0.706
Sr 0.500 0.500 0.206
Pu 0.000 0.000 0.351
Pu 0.500 0.500 0.851
O 0.000 0.000 0.187
O 0.000 0.000 0.522
O 0.000 0.500 0.345
O 0.000 0.500 0.845
O 0.500 0.000 0.345
O 0.500 0.000 0.845
O 0.500 0.500 0.022
O 0.500 0.500 0.687

***

No. 3
! Ba3SrPu2O9 (PBE, relaxed); values from VASP
! Total DFT energy (no corrections) = -8.230 eV/atom
! Space-group type = No. 164
&SYSTEM
  ibrav = 0, nat = 15, ntyp = 4
/
ATOMIC_SPECIES
Ba 137.33 Ba.upf
Sr 87.62 Sr.upf
Pu 244.00 Pu.upf
O 16.00 O.upf
CELL_PARAMETERS angstrom
6.279 0.000 0.000
-3.139 5.438 0.000
0.000 0.000 7.699
ATOMIC_POSITIONS crystal
Ba 0.000 0.000 0.000
Ba 0.333 0.667 0.652
Ba 0.667 0.333 0.348
Sr 0.000 0.000 0.500
Pu 0.333 0.667 0.159
Pu 0.667 0.333 0.841
O 0.000 0.500 0.000
O 0.178 0.357 0.317
O 0.178 0.822 0.317
O 0.357 0.178 0.683
O 0.500 0.000 0.000
O 0.500 0.500 0.000
O 0.643 0.822 0.317
O 0.822 0.178 0.683
O 0.822 0.643 0.683

***

No. 4
! Ba2SrPuO6 (PBE, relaxed); values from VASP
! Total DFT energy (no corrections) = -7.793 eV/atom
! Space-group type = No. 14
&SYSTEM
  ibrav = 0, nat = 20, ntyp = 4
/
ATOMIC_SPECIES
Ba 137.33 Ba.upf
Sr 87.62 Sr.upf
Pu 244.00 Pu.upf
O 16.00 O.upf
CELL_PARAMETERS angstrom
6.277 0.000 0.000
0.000 6.328 0.000
-6.220 0.000 8.885
ATOMIC_POSITIONS crystal
Ba 0.242 0.033 0.250
Ba 0.242 0.467 0.750
Ba 0.758 0.533 0.250
Ba 0.758 0.967 0.750
Sr 0.500 0.000 0.000
Sr 0.500 0.500 0.500
Pu 0.000 0.000 0.500
Pu 0.000 0.500 0.000
O 0.140 0.236 0.950
O 0.140 0.264 0.450
O 0.221 0.692 0.959
O 0.221 0.808 0.459
O 0.310 0.028 0.726
O 0.310 0.472 0.226
O 0.690 0.528 0.774
O 0.690 0.972 0.274
O 0.779 0.192 0.541
O 0.779 0.308 0.041
O 0.860 0.736 0.550
O 0.860 0.764 0.050

***

No. 5
! Ba2PuTaO6 (PBE, relaxed); values from VASP
! Total DFT energy (no corrections) = -8.878 eV/atom
! Space-group type = No. 123
&SYSTEM
  ibrav = 0, nat = 10, ntyp = 4
/
ATOMIC_SPECIES
Ba 137.33 Ba.upf
Pu 244.00 Pu.upf
Ta 180.95 Ta.upf
O 16.00 O.upf
CELL_PARAMETERS angstrom
4.280 0.000 0.000
0.000 4.280 0.000
0.000 0.000 8.683
ATOMIC_POSITIONS crystal
Ba 0.000 0.000 0.238
Ba 0.000 0.000 0.762
Pu 0.500 0.500 0.500
Ta 0.500 0.500 0.000
O 0.000 0.500 0.000
O 0.000 0.500 0.500
O 0.500 0.000 0.000
O 0.500 0.000 0.500
O 0.500 0.500 0.227
O 0.500 0.500 0.773

***

No. 6
! Ba3PuTa2O9 (PBE, relaxed); values from VASP
! Total DFT energy (no corrections) = -8.812 eV/atom
! Space-group type = No. 164
&SYSTEM
  ibrav = 0, nat = 15, ntyp = 4
/
ATOMIC_SPECIES
Ba 137.33 Ba.upf
Pu 244.00 Pu.upf
Ta 180.95 Ta.upf
O 16.00 O.upf
CELL_PARAMETERS angstrom
6.004 0.000 0.000
-3.002 5.200 0.000
0.000 0.000 7.423
ATOMIC_POSITIONS crystal
Ba 0.000 0.000 0.000
Ba 0.333 0.667 0.673
Ba 0.667 0.333 0.327
Pu 0.000 0.000 0.500
Ta 0.333 0.667 0.160
Ta 0.667 0.333 0.840
O 0.000 0.500 0.000
O 0.177 0.353 0.314
O 0.177 0.823 0.314
O 0.353 0.177 0.686
O 0.500 0.000 0.000
O 0.500 0.500 0.000
O 0.647 0.823 0.314
O 0.823 0.177 0.686
O 0.823 0.647 0.686